1.
## Cs2LiInCl6 (GGA-PBE)

Data for an optimized crystal structure of Cs2LiInCl6.

Summary:
As for the formation energy from raw total energies: -1586 kJ/mol of formula units. The total magnetization comes out at 0.00 μB per formula unit. The density of states at the Fermi level is 0.00 states/eV per cell.

a = 7.410 Å, b = 7.410 Å, c = 7.410 Å
α = 60.00°, β = 60.00°, γ = 60.00°
Positions (direct):
Cs 0.250 0.250 0.250
Cs 0.750 0.750 0.750
Li 0.000 0.000 0.000
In 0.500 0.500 0.500
Cl 0.255 0.255 0.745
Cl 0.255 0.745 0.255
Cl 0.255 0.745 0.745
Cl 0.745 0.255 0.255
Cl 0.745 0.255 0.745
Cl 0.745 0.745 0.255


2.
## Cs2LiInCl4 (GGA-PBE)

Data for an optimized crystal structure of Cs2LiInCl4.

Summary:
As for the formation energy from raw total energies: -1191 kJ/mol of formula units. The total magnetization comes out at 0.00 μB per formula unit. The density of states at the Fermi level is 0.00 states/eV per cell.

a = 9.148 Å, b = 9.148 Å, c = 9.244 Å
α = 119.64°, β = 119.64°, γ = 88.04°
Positions (direct):
Cs 0.000 0.000 0.000
Cs 0.000 0.000 0.500
Cs 0.000 0.500 0.000
Cs 0.500 0.000 0.500
Li 0.000 0.500 0.500
Li 0.500 0.000 0.000
In 0.500 0.500 0.000
In 0.500 0.500 0.500
Cl 0.206 0.314 0.509
Cl 0.251 0.732 0.508
Cl 0.268 0.749 0.992
Cl 0.314 0.206 0.009
Cl 0.686 0.794 0.991
Cl 0.732 0.251 0.008
Cl 0.749 0.268 0.492
Cl 0.794 0.686 0.491